Density functional theory data (PBE) for a relaxed structure of La2NdEr.

a b c (Å): 5.200 5.200 5.132
angles (deg): 90.00 90.00 90.00
Space group P4/mmm (No. 123)
One atom of each set of equivalent atoms:
La  0.000  0.500  0.000
Nd  0.000  0.000  0.500
Er  0.500  0.500  0.500

Computed properties:
E_tot: -19.13 eV/cell
Energy relative to the elements: 13 meV/atom
Density of states at the Fermi level: 5.7 states/eV/f.u.
Energy relative to the lowest polymorph listed for this composition: 0 meV/atom

=====

Density functional theory data (PBE) for a relaxed structure of La3Nd5Er.

a b c (Å): 12.156 8.682 13.257
angles (deg): 90.00 104.70 90.00
Space group C2/m (No. 12)
One atom of each set of equivalent atoms:
La  0.000  0.000  0.000
La  0.000  0.000  0.500
La  0.067  0.500  0.210
La  0.227  0.500  0.453
Nd  0.000  0.316  0.000
Nd  0.075  0.500  0.618
Nd  0.157  0.190  0.778
Nd  0.234  0.500  0.957
Er  0.127  0.000  0.266

Computed properties:
E_tot: -158.70 eV/cell
Energy relative to the elements: 390 meV/atom
Density of states at the Fermi level: 14.8 states/eV/f.u.

=====

Density functional theory data (PBE) for a relaxed structure of LaNd4Er3.

a b c (Å): 3.500 11.790 13.109
angles (deg): 90.00 90.00 90.00
Space group Immm (No. 71)
One atom of each set of equivalent atoms:
La  0.000  0.000  0.000
Nd  0.000  0.251  0.133
Er  0.000  0.000  0.500
Er  0.000  0.500  0.259

Computed properties:
E_tot: -73.27 eV/cell
Energy relative to the elements: 131 meV/atom
Density of states at the Fermi level: 14.8 states/eV/f.u.
Energy relative to the lowest polymorph listed for this composition: 100 meV/atom

=====

Density functional theory data (PBE) for a relaxed structure of LaNd8Er6.

a b c (Å): 9.1206 9.1206 21.0944
angles (deg): 90.00 90.00 120.00
Space group R-3 (No. 148, hexagonal axes)
One atom of each set of equivalent atoms:
La  0.0000  0.0000  0.0000
Nd  0.0000  0.0000  0.4219
Nd  0.0799  0.5206  0.8058
Er  0.0406  0.8007  0.7063

Computed properties:
E_tot: -205.51 eV/cell
Energy relative to the elements: 130 meV/atom
Density of states at the Fermi level: 23.4 states/eV/f.u.
Energy relative to the lowest polymorph listed for this composition: 0 meV/atom

=====

Repeat the second record exactly.
Density functional theory data (PBE) for a relaxed structure of La3Nd5Er.

a b c (Å): 12.156 8.682 13.257
angles (deg): 90.00 104.70 90.00
Space group C2/m (No. 12)
One atom of each set of equivalent atoms:
La  0.000  0.000  0.000
La  0.000  0.000  0.500
La  0.067  0.500  0.210
La  0.227  0.500  0.453
Nd  0.000  0.316  0.000
Nd  0.075  0.500  0.618
Nd  0.157  0.190  0.778
Nd  0.234  0.500  0.957
Er  0.127  0.000  0.266

Computed properties:
E_tot: -158.70 eV/cell
Energy relative to the elements: 390 meV/atom
Density of states at the Fermi level: 14.8 states/eV/f.u.

=====

Question: The highest energy relative to the elements belongs to which entry?
Answer: La3Nd5Er